# AlCdFeTc, optimized geometry, DFT PBE
data_AlCdFeTc
_chemical_formula_sum 'Al4 Cd4 Fe4 Tc4'
_cell_length_a 6.2442
_cell_length_b 6.2442
_cell_length_c 6.2442
_cell_angle_alpha 90.00
_cell_angle_beta 90.00
_cell_angle_gamma 90.00
_symmetry_space_group_name_H-M 'F -4 3 m'
_symmetry_Int_Tables_number 216
_symmetry_space_group_name_Hall 'F -4 2 3'
loop_
_atom_site_label
_atom_site_type_symbol
_atom_site_fract_x
_atom_site_fract_y
_atom_site_fract_z
_atom_site_occupancy
Al1 Al 0.0000 0.0000 0.0000 1
Cd1 Cd 0.0000 0.0000 0.5000 1
Fe1 Fe 0.2500 0.2500 0.2500 1
Tc1 Tc 0.2500 0.2500 0.7500 1
# magnetic moment: 12.3 μB per cell
# uncorrected energy: -5.58 eV/atom